# 1
VASP calculation (PBE-GGA) on a relaxed PmIn2Pt crystal.

a b c (Å): 16.838 7.637 5.793
angles (deg): 90.00 90.00 90.00
Element x y z (fractional)
Pm: 0.106 0.250 0.233
Pm: 0.145 0.750 0.470
Pm: 0.355 0.250 0.970
Pm: 0.394 0.750 0.733
Pm: 0.606 0.250 0.267
Pm: 0.645 0.750 0.030
Pm: 0.855 0.250 0.530
Pm: 0.894 0.750 0.767
In: 0.033 0.048 0.737
In: 0.033 0.452 0.737
In: 0.215 0.551 0.973
In: 0.215 0.949 0.973
In: 0.285 0.051 0.473
In: 0.285 0.449 0.473
In: 0.467 0.548 0.237
In: 0.467 0.952 0.237
In: 0.533 0.048 0.763
In: 0.533 0.452 0.763
In: 0.715 0.551 0.527
In: 0.715 0.949 0.527
In: 0.785 0.051 0.027
In: 0.785 0.449 0.027
In: 0.967 0.548 0.263
In: 0.967 0.952 0.263
Pt: 0.073 0.750 0.987
Pt: 0.172 0.250 0.730
Pt: 0.328 0.750 0.230
Pt: 0.427 0.250 0.487
Pt: 0.573 0.750 0.513
Pt: 0.672 0.250 0.770
Pt: 0.828 0.750 0.270
Pt: 0.927 0.250 0.013

Calculated values
Distance to the lowest polymorph of the same formula   0.033 eV/atom
Symmetry   Pnma

---

# 2
VASP calculation (PBE-GGA) on a relaxed Pm3In3Pt2 crystal.

a b c (Å): 8.144 17.036 5.777
angles (deg): 90.00 90.00 90.00
Element x y z (fractional)
Pm: 0.037 0.110 0.112
Pm: 0.037 0.390 0.112
Pm: 0.160 0.250 0.659
Pm: 0.340 0.750 0.159
Pm: 0.463 0.610 0.612
Pm: 0.463 0.890 0.612
Pm: 0.537 0.110 0.388
Pm: 0.537 0.390 0.388
Pm: 0.660 0.250 0.841
Pm: 0.840 0.750 0.341
Pm: 0.963 0.610 0.888
Pm: 0.963 0.890 0.888
In: 0.176 0.750 0.665
In: 0.183 0.032 0.611
In: 0.183 0.468 0.611
In: 0.317 0.532 0.111
In: 0.317 0.968 0.111
In: 0.324 0.250 0.165
In: 0.676 0.750 0.835
In: 0.683 0.032 0.889
In: 0.683 0.468 0.889
In: 0.817 0.532 0.389
In: 0.817 0.968 0.389
In: 0.824 0.250 0.335
Pt: 0.104 0.620 0.387
Pt: 0.104 0.880 0.387
Pt: 0.396 0.120 0.887
Pt: 0.396 0.380 0.887
Pt: 0.604 0.620 0.113
Pt: 0.604 0.880 0.113
Pt: 0.896 0.120 0.613
Pt: 0.896 0.380 0.613

Calculated values
Symmetry   Pnma
Energy   -0.3739 Ry per atom

---

# 3
VASP calculation (PBE-GGA) on a relaxed Pm3In4Pt4 crystal.

a b c (Å): 8.975 8.975 8.975
angles (deg): 153.97 127.10 59.88
Element x y z (fractional)
Pm: 0.000 0.000 0.000
Pm: 0.386 0.886 0.500
Pm: 0.614 0.114 0.500
In: 0.027 0.330 0.697
In: 0.367 0.670 0.697
In: 0.633 0.330 0.303
In: 0.973 0.670 0.303
Pt: 0.233 0.233 0.000
Pt: 0.299 0.500 0.799
Pt: 0.701 0.500 0.201
Pt: 0.767 0.767 0.000

Calculated values
Symmetry   Immm
Energy   -0.3933 Ry per atom